Compound: HoTlHg2
Source: Alexandria via LeMat-Bulk
Functional: PBE
Structure: optimized geometry

a b c (Å): 3.7538 3.7538 9.4238
angles (deg): 78.51 78.51 60.00
Closest atoms and distances in Å follow each position.
Sites, in units of the cell vectors:
1 Tl 0.4994 0.4994 0.5018  6 Hg 3.19-3.23
2 Ho 0.6668 0.6668 0.9995  6 Hg 3.10
3 Hg 0.2529 0.2529 0.2413  3 Ho 3.10, 3 Tl 3.23
4 Hg 0.0809 0.0809 0.7573  3 Ho 3.10, 3 Tl 3.19

Its total energy is -2.059 eV/atom. As for the space group: R3m (160). For the formation energy, the calculation gives -0.172 eV/atom.